Below is a relaxed Zn3CdAu3 crystal, with properties calculated at the GGA-PBE level.

Unit cell a=7.921 b=7.921 c=7.921 alpha=90.00 beta=90.00 gamma=90.00
Atoms (fractional coordinates):
1 Au 0.513 0.807 0.388
2 Au 0.193 0.888 0.987
3 Au 0.807 0.388 0.513
4 Au 0.693 0.612 0.013
5 Au 0.112 0.487 0.307
6 Au 0.307 0.112 0.487
7 Au 0.013 0.693 0.612
8 Au 0.388 0.513 0.807
9 Au 0.987 0.193 0.888
10 Au 0.888 0.987 0.193
11 Au 0.487 0.307 0.112
12 Au 0.612 0.013 0.693
13 Zn 0.180 0.180 0.180
14 Zn 0.168 0.832 0.332
15 Zn 0.320 0.820 0.680
16 Zn 0.332 0.168 0.832
17 Zn 0.134 0.366 0.634
18 Zn 0.366 0.634 0.134
19 Zn 0.634 0.134 0.366
20 Zn 0.668 0.668 0.668
21 Zn 0.820 0.680 0.320
22 Zn 0.680 0.320 0.820
23 Zn 0.832 0.332 0.168
24 Zn 0.866 0.866 0.866
25 Cd 0.452 0.452 0.452
26 Cd 0.548 0.952 0.048
27 Cd 0.952 0.048 0.548
28 Cd 0.048 0.548 0.952

=====

Below is a relaxed Zn8CdAu2 crystal, with properties calculated at the GGA-PBE level.

Unit cell a=5.107 b=6.965 c=6.965 alpha=52.78 beta=100.47 gamma=100.47
Atoms (fractional coordinates):
1 Au 0.710 0.765 0.765
2 Au 0.290 0.235 0.235
3 Zn 0.211 0.778 0.778
4 Zn 0.425 0.367 0.817
5 Zn 0.789 0.222 0.222
6 Zn 0.425 0.817 0.367
7 Zn 0.575 0.633 0.183
8 Zn 0.575 0.183 0.633
9 Zn 0.113 0.420 0.420
10 Zn 0.887 0.580 0.580
11 Cd 0.000 0.000 0.000

=====

Below is a relaxed ZnCdAu crystal, with properties calculated at the GGA-PBE level.

Unit cell a=4.383 b=4.421 c=7.737 alpha=73.54 beta=89.96 gamma=60.24
Atoms (fractional coordinates):
1 Zn 0.898 0.904 0.299
2 Zn 0.647 0.406 0.560
3 Au 0.525 0.651 0.175
4 Au 0.267 0.165 0.413
5 Cd 0.395 0.910 0.785
6 Cd 0.135 0.432 0.993

=====

E_form
In order: -0.14; -0.04; -0.09
Unit: eV per atom
Mass density
In order: 12.0; 8.8; 10.1
Unit: Mg/m³